# 1
Compound: Dy5Y3
Source: Alexandria
Functional: GGA-PBE
Structure: relaxed

For the formation energy, the calculation gives 0.00 eV per atom. The density of states at the Fermi level comes out at 1.66 states/eV per atom. The calculation puts the uncorrected energy at -42.37 eV for the cell shown.

The space group is Pmm2 (No. 25) and the conventional cell measures 3.6364, 5.6339 and 12.5884 Å, with angles of 90.00, 90.00 and 90.00 degrees. The asymmetric unit holds Dy at (0.0000, 0.0000, 0.0000), Dy at (0.0000, 0.0000, 0.4969), Dy at (0.0000, 0.5000, 0.3299), Dy at (0.5000, 0.0000, 0.2490), Dy at (0.5000, 0.5000, 0.0819), Y at (0.0000, 0.5000, 0.8328), Y at (0.5000, 0.0000, 0.7478) and Y at (0.5000, 0.5000, 0.5801).

=====

# 2
Compound: Dy4Y5
Source: Alexandria
Functional: GGA-PBE
Structure: relaxed

For the formation energy, the calculation gives 0.02 eV per atom. The density of states at the Fermi level comes out at 1.49 states/eV per atom. The calculation puts the uncorrected energy at -101.05 eV for the cell shown.

The space group is I4/mmm (No. 139) and the conventional cell measures 10.6819, 10.6819 and 5.0246 Å, with angles of 90.00, 90.00 and 90.00 degrees. The asymmetric unit holds Dy at (0.0000, 0.3348, 0.0000), Y at (0.0000, 0.0000, 0.0000) and Y at (0.1670, 0.1670, 0.5000).

=====

# 3
Compound: Dy4Y3
Source: Alexandria
Functional: GGA-PBE
Structure: relaxed

For the formation energy, the calculation gives 0.13 eV per atom. The density of states at the Fermi level comes out at 2.40 states/eV per atom. The calculation puts the uncorrected energy at -73.84 eV for the cell shown.

The space group is C2/m (No. 12) and the conventional cell measures 9.4454, 5.9011 and 9.0479 Å, with angles of 90.00, 116.90 and 90.00 degrees. The asymmetric unit holds Dy at (0.1425, 0.0000, 0.4285), Dy at (0.2147, 0.5000, 0.1436), Y at (0.0000, 0.0000, 0.0000) and Y at (0.0705, 0.5000, 0.7144).

=====

# 4
Compound: DyY
Source: Alexandria
Functional: GGA-PBE
Structure: relaxed

For the formation energy, the calculation gives 0.13 eV per atom. The density of states at the Fermi level comes out at 2.38 states/eV per atom. The calculation puts the uncorrected energy at -10.80 eV for the cell shown.

The space group is Pm-3m (No. 221) and the conventional cell measures 4.0166, 4.0166 and 4.0166 Å, with angles of 90.00, 90.00 and 90.00 degrees. The asymmetric unit holds Dy at (0.0000, 0.0000, 0.0000) and Y at (0.5000, 0.5000, 0.5000).

=====

# 5
Compound: DyY3
Source: Alexandria
Functional: GGA-PBE
Structure: relaxed

For the formation energy, the calculation gives 0.02 eV per atom. The density of states at the Fermi level comes out at 1.56 states/eV per atom. The calculation puts the uncorrected energy at -47.80 eV for the cell shown.

The space group is I4/mmm (No. 139) and the conventional cell measures 5.0389, 5.0389 and 10.0815 Å, with angles of 90.00, 90.00 and 90.00 degrees. The asymmetric unit holds Dy at (0.0000, 0.0000, 0.0000), Y at (0.0000, 0.0000, 0.5000) and Y at (0.0000, 0.5000, 0.2500).

=====

# 6
Compound: Dy2Y17
Source: Alexandria
Functional: GGA-PBE
Structure: relaxed

For the formation energy, the calculation gives 0.30 eV per atom. The density of states at the Fermi level comes out at 1.94 states/eV per atom. The calculation puts the uncorrected energy at -340.36 eV for the cell shown.

The space group is R-3m (No. 166, hexagonal axes) and the conventional cell measures 11.2096, 11.2096 and 17.7801 Å, with angles of 90.00, 90.00 and 120.00 degrees. The asymmetric unit holds Dy at (0.0000, 0.0000, 0.1798), Y at (0.0000, 0.0000, 0.4028), Y at (0.0000, 0.2995, 0.5000), Y at (0.0000, 0.5000, 0.0000) and Y at (0.0140, 0.5070, 0.6358).

=====

# 7
Compound: DyY3
Source: Alexandria
Functional: GGA-PBE
Structure: relaxed

For the formation energy, the calculation gives 0.13 eV per atom. The density of states at the Fermi level comes out at 2.62 states/eV per atom. The calculation puts the uncorrected energy at -93.87 eV for the cell shown.

The space group is Fm-3m (No. 225) and the conventional cell measures 8.0508, 8.0508 and 8.0508 Å, with angles of 90.00, 90.00 and 90.00 degrees. The asymmetric unit holds Dy at (0.0000, 0.0000, 0.0000), Y at (0.0000, 0.0000, 0.5000) and Y at (0.2500, 0.2500, 0.2500).

=====

# 8
Compound: Dy4Y3
Source: Alexandria
Functional: GGA-PBE
Structure: relaxed

For the formation energy, the calculation gives 0.13 eV per atom. The density of states at the Fermi level comes out at 1.69 states/eV per atom. The calculation puts the uncorrected energy at -73.75 eV for the cell shown.

The space group is C2/m (No. 12) and the conventional cell measures 16.6463, 3.4886 and 8.6908 Å, with angles of 90.00, 116.09 and 90.00 degrees. The asymmetric unit holds Dy at (0.0781, 0.0000, 0.2000), Dy at (0.1350, 0.5000, 0.9086), Y at (0.0000, 0.0000, 0.5000) and Y at (0.2221, 0.0000, 0.6500).